Entry 1:
## PrThIr (PBE)

Data for PrThIr after structural relaxation.

Unit cell a=4.651 b=4.643 c=4.643 alpha=120.00 beta=90.00 gamma=90.00
Atoms (fractional coordinates):
Pr (0.698, 0.667, 0.333)
Th (0.215, 0.333, 0.667)
Ir (0.087, 0.000, 0.000)

Properties
VASP energy	-7.370	eV per atom
DOS(E_F)	2.5	states/eV per cell
calculated density	10.8	g cm⁻³
E above lowest polymorph	116.2	meV/atom
calculated volume	28.94	Å³/atom
total magnetic moment	0.00	μB/cell


Entry 2:
## Mn2CdBr (PBE)

Data for Mn2CdBr after structural relaxation.

Unit cell a=3.204 b=5.520 c=4.634 alpha=90.00 beta=90.00 gamma=90.00
Site moments in Bohr magnetons follow the coordinates.
Atoms (fractional coordinates):
Br (0.500, 0.000, 0.500)  0.07
Mn (0.000, 0.000, 0.000)  3.95
Mn (0.500, 0.500, 0.000)  3.71
Cd (0.000, 0.500, 0.500)  -0.05

Properties
VASP energy	-4.744	eV per atom
DOS(E_F)	3.0	states/eV per cell
calculated density	6.1	g cm⁻³
E above lowest polymorph	278.6	meV/atom
calculated volume	20.49	Å³/atom
total magnetic moment	8.02	μB/cell
formation energy from raw total energies	0.488	eV/atom


Entry 3:
## MnCrNi (PBE)

Data for MnCrNi after structural relaxation.

Unit cell a=4.007 b=4.007 c=2.384 alpha=90.00 beta=90.00 gamma=120.00
Atoms (fractional coordinates):
Ni (0.333, 0.667, 0.697)
Mn (0.667, 0.333, 0.274)
Cr (0.000, 0.000, 0.029)

Properties
VASP energy	-8.092	eV per atom
DOS(E_F)	4.0	states/eV per cell
calculated density	8.3	g cm⁻³
E above lowest polymorph	26.4	meV/atom
calculated volume	11.05	Å³/atom
total magnetic moment	0.00	μB/cell


Entry 4:
## Tb5PrHoTm2 (PBE)

Data for Tb5PrHoTm2 after structural relaxation.

Unit cell a=5.610 b=10.343 c=10.508 alpha=90.00 beta=90.00 gamma=105.74
Atoms (fractional coordinates):
Tb (0.720, 0.439, 0.814)
Tb (0.613, 0.226, 0.523)
Tb (0.298, 0.596, 0.709)
Tb (0.702, 0.404, 0.209)
Tb (0.280, 0.561, 0.314)
Tb (0.522, 0.043, 0.238)
Tb (0.983, 0.965, 0.523)
Tb (0.017, 0.035, 0.023)
Tb (0.478, 0.957, 0.738)
Tb (0.387, 0.774, 0.023)
Tm (0.886, 0.772, 0.819)
Tm (0.112, 0.224, 0.735)
Tm (0.888, 0.776, 0.235)
Tm (0.114, 0.228, 0.319)
Pr (0.585, 0.169, 0.950)
Pr (0.415, 0.831, 0.450)
Ho (0.199, 0.398, 0.013)
Ho (0.801, 0.602, 0.513)

Properties
VASP energy	-4.443	eV per atom
DOS(E_F)	29.3	states/eV per cell
calculated density	8.1	g cm⁻³
calculated volume	32.60	Å³/atom
total magnetic moment	0.00	μB/cell


Entry 5:
## Rb3CdC2O6 (PBE)

Data for Rb3CdC2O6 after structural relaxation.

Unit cell a=5.908 b=5.908 c=7.408 alpha=90.00 beta=90.00 gamma=120.00
Atoms (fractional coordinates):
O (0.205, 0.411, 0.266)
O (0.589, 0.795, 0.266)
O (0.795, 0.205, 0.734)
O (0.795, 0.589, 0.734)
O (0.411, 0.205, 0.734)
O (0.205, 0.795, 0.266)
Rb (0.333, 0.667, 0.708)
Rb (0.000, 0.000, 0.000)
Rb (0.667, 0.333, 0.292)
C (0.333, 0.667, 0.266)
C (0.667, 0.333, 0.734)
Cd (0.000, 0.000, 0.500)

Properties
VASP energy	-5.788	eV per atom
DOS(E_F)	2.8	states/eV per cell
calculated density	3.6	g cm⁻³
calculated volume	18.66	Å³/atom
total magnetic moment	0.00	μB/cell
formation energy from raw total energies	-1.454	eV/atom


Entry 6:
## AcTb2Zn6 (PBE)

Data for AcTb2Zn6 after structural relaxation.

Unit cell a=3.646 b=7.927 c=7.924 alpha=120.01 beta=90.01 gamma=90.00
Atoms (fractional coordinates):
Tb (0.000, 0.667, 0.333)
Tb (0.000, 0.333, 0.667)
Zn (0.500, 0.000, 0.342)
Zn (0.500, 0.000, 0.658)
Zn (0.500, 0.658, 0.658)
Zn (0.500, 0.342, 0.342)
Zn (0.500, 0.658, 0.000)
Zn (0.500, 0.342, 0.000)
Ac (0.000, 0.000, 0.000)

Properties
VASP energy	-2.659	eV per atom
DOS(E_F)	7.8	states/eV per cell
calculated density	7.8	g cm⁻³
calculated volume	22.03	Å³/atom
total magnetic moment	0.00	μB/cell